Entry 1:
A plane-wave DFT calculation with PBE was carried out for an optimized crystal structure of AgTePb2.

```
AgTePb2
1.0
-2.077 1.082 -3.489
-4.499 0.034 2.689
0.708 4.979 1.122
Te Pb Ag
1 2 1
direct
0.500 0.000 0.500
0.000 0.000 0.000
0.500 0.500 0.000
0.000 0.500 0.500
```

***

Entry 2:
A plane-wave DFT calculation with PBE was carried out for an optimized crystal structure of AgTe2Pb.

```
AgTe2Pb
1.0
5.391 -0.082 0.228
-1.926 5.036 0.228
1.613 2.306 4.692
Ag Te Pb
1 2 1
direct
0.500 0.000 0.500
0.000 0.000 0.000
0.500 0.500 0.000
0.000 0.500 0.500
```

***

| no. | formation energy (no corrections) (eV per atom) | VASP energy (eV per atom) | calculated volume (Å³/atom) |
| --- | --- | --- | --- |
| 1 | 0.086 | -3.27 | 28.4 |
| 2 | -0.011 | -3.22 | 30.2 |